--- A ---
# GeS2NCl

Crystalline GeS2NCl at its relaxed geometry (PBE-GGA, Alexandria via LeMat-Bulk).

Properties
The magnetization is 3.8 μB per formula unit.

Cell lengths 4.7287, 4.7287, 5.0879 Å; angles 90.00, 90.00, 90.00 degrees
Last column: nearest neighbours and their distance in Å.
Space group P4/mmm (No. 123)
Inequivalent atoms, fractional coordinates:
Ge 0.0000 0.0000 0.0000 [1 per cell]  4 S 2.36, 2 Cl 2.54
S 0.0000 0.5000 0.0000 [2 per cell]  2 Ge 2.36
N 0.5000 0.5000 0.5000 [1 per cell]  4 Cl 3.34, 8 S 3.47
Cl 0.0000 0.0000 0.5000 [1 per cell]  2 Ge 2.54

=====

--- B ---
# GeS2NCl

Crystalline GeS2NCl at its relaxed geometry (PBE-GGA, Alexandria via LeMat-Bulk).

Properties
The magnetization is 0.0 μB per formula unit.

Cell lengths 4.1238, 4.1238, 4.6779 Å; angles 90.00, 90.00, 90.00 degrees
Last column: nearest neighbours and their distance in Å.
Space group P4/mmm (No. 123)
Inequivalent atoms, fractional coordinates:
Ge 0.0000 0.0000 0.0000 [1 per cell]  4 Cl 2.92, 8 S 3.12
S 0.0000 0.5000 0.5000 [2 per cell]  2 N 2.06
N 0.5000 0.5000 0.5000 [1 per cell]  4 S 2.06
Cl 0.5000 0.5000 0.0000 [1 per cell]  2 N 2.34

=====

What should be chosen as the least stable of them? Choose A.

=====

--- A ---
# GeSNCl2

Crystalline GeSNCl2 at its relaxed geometry (PBE-GGA, Alexandria via LeMat-Bulk).

Properties
The magnetization is 0.0 μB per formula unit.

Cell lengths 4.2764, 4.2764, 4.6431 Å; angles 90.00, 90.00, 90.00 degrees
Last column: nearest neighbours and their distance in Å.
Space group P4/mmm (No. 123)
Inequivalent atoms, fractional coordinates:
Ge 0.0000 0.0000 0.0000 [1 per cell]  4 S 3.02, 8 Cl 3.16
S 0.5000 0.5000 0.0000 [1 per cell]  2 N 2.32
N 0.5000 0.5000 0.5000 [1 per cell]  4 Cl 2.14, 2 S 2.32
Cl 0.0000 0.5000 0.5000 [2 per cell]  2 N 2.14

=====

--- B ---
# GeSNCl2

Crystalline GeSNCl2 at its relaxed geometry (PBE-GGA, Alexandria via LeMat-Bulk).

Properties
The magnetization is 3.7 μB per formula unit.

Cell lengths 5.0076, 5.0076, 4.6887 Å; angles 90.00, 90.00, 90.00 degrees
Last column: nearest neighbours and their distance in Å.
Space group P4/mmm (No. 123)
Inequivalent atoms, fractional coordinates:
Ge 0.0000 0.0000 0.0000 [1 per cell]  2 S 2.34, 4 Cl 2.50
S 0.0000 0.0000 0.5000 [1 per cell]  2 Ge 2.34
N 0.5000 0.5000 0.5000 [1 per cell]  8 Cl 3.43, 4 S 3.54
Cl 0.0000 0.5000 0.0000 [2 per cell]  2 Ge 2.50

=====

What should be chosen as the least stable of them? Choose B.

=====

--- A ---
# GeSeN2Cl

Crystalline GeSeN2Cl at its relaxed geometry (PBE-GGA, Alexandria via LeMat-Bulk).

Properties
The magnetization is 2.4 μB per formula unit.

Cell lengths 4.0944, 4.0944, 5.0503 Å; angles 90.00, 90.00, 90.00 degrees
Last column: nearest neighbours and their distance in Å.
Space group P4/mmm (No. 123)
Inequivalent atoms, fractional coordinates:
Ge 0.0000 0.0000 0.0000 [1 per cell]  4 Se 2.90
Se 0.5000 0.5000 0.0000 [1 per cell]  2 Cl 2.53
N 0.0000 0.5000 0.5000 [2 per cell]  2 Cl 2.05
Cl 0.5000 0.5000 0.5000 [1 per cell]  4 N 2.05

=====

--- B ---
# GeSeN2Cl

Crystalline GeSeN2Cl at its relaxed geometry (PBE-GGA, Alexandria via LeMat-Bulk).

Properties
The magnetization is 0.4 μB per formula unit.

Cell lengths 3.7016, 3.7016, 6.3243 Å; angles 90.00, 90.00, 90.00 degrees
Last column: nearest neighbours and their distance in Å.
Space group P4/mmm (No. 123)
Inequivalent atoms, fractional coordinates:
Ge 0.0000 0.0000 0.0000 [1 per cell]  4 N 1.85
Se 0.0000 0.0000 0.5000 [1 per cell]  4 Cl 2.62
N 0.0000 0.5000 0.0000 [2 per cell]  2 Ge 1.85
Cl 0.5000 0.5000 0.5000 [1 per cell]  4 Se 2.62

=====

What should be chosen as the least stable of them? Choose A.

=====

--- A ---
# NaGeCl

Crystalline NaGeCl at its relaxed geometry (PBE-GGA, Alexandria via LeMat-Bulk).

Properties
The magnetization is 0.0 μB per formula unit.

Cell lengths 3.8733, 13.5916, 6.2324 Å; angles 90.00, 90.00, 90.00 degrees
Last column: nearest neighbours and their distance in Å.
Space group Ima2 (No. 46)
Inequivalent atoms, fractional coordinates:
Na 0.2500 0.1756 0.0000 [4 per cell]  4 Cl 2.83-2.95
Ge 0.2500 0.5526 0.8463 [4 per cell]  2 Ge 2.41, 1 Cl 2.67
Cl 0.2500 0.6809 0.1702 [4 per cell]  1 Ge 2.67, 4 Na 2.83-2.95

=====

--- B ---
# NaGeCl

Crystalline NaGeCl at its relaxed geometry (PBE-GGA, Alexandria via LeMat-Bulk).

Properties
The magnetization is 0.0 μB per formula unit.

Cell lengths 6.7468, 3.9539, 7.5444 Å; angles 90.00, 104.68, 90.00 degrees
Last column: nearest neighbours and their distance in Å.
Space group Pm (No. 6)
Inequivalent atoms, fractional coordinates:
Na 0.0000 0.0000 0.0000 [1 per cell]  4 Cl 2.71-2.91
Na 0.0629 0.0000 0.5017 [1 per cell]  4 Cl 2.72-2.91
Ge 0.5197 0.5000 0.7338 [1 per cell]  2 Ge 2.39, 1 Cl 2.53
Ge 0.6196 0.0000 0.6017 [1 per cell]  2 Ge 2.39
Cl 0.1674 0.5000 0.7942 [1 per cell]  1 Ge 2.53
Cl 0.9975 0.5000 0.2456 [1 per cell]  4 Na 2.71-2.72

=====

What should be chosen as the least stable of them? Choose A.

=====

--- A ---
# NaGeCl

Crystalline NaGeCl at its relaxed geometry (PBE-GGA, Alexandria via LeMat-Bulk).

Properties
The magnetization is 0.0 μB per formula unit.

Cell lengths 3.9327, 6.1082, 7.9572 Å; angles 111.97, 104.14, 90.14 degrees
Last column: nearest neighbours and their distance in Å.
Space group P1 (No. 1)
Inequivalent atoms, fractional coordinates:
Na 0.0000 0.0000 0.0000 [1 per cell]  3 Cl 2.77-2.79
Na 0.2333 0.5677 0.4684 [1 per cell]  4 Cl 2.80-2.82
Ge 0.4673 0.5224 0.9331 [1 per cell]  2 Ge 2.43
Ge 0.8709 0.3630 0.7393 [1 per cell]  2 Ge 2.43, 1 Cl 2.52
Cl 0.6029 0.3108 0.2070 [1 per cell]  4 Na 2.77-2.82, 1 Ge 2.87
Cl 0.8088 0.9163 0.6182 [1 per cell]  1 Ge 2.52, 3 Na 2.79-2.80

=====

--- B ---
# NaGeCl

Crystalline NaGeCl at its relaxed geometry (PBE-GGA, Alexandria via LeMat-Bulk).

Properties
The magnetization is 0.0 μB per formula unit.

Cell lengths 3.6394, 3.7251, 10.5819 Å; angles 90.00, 90.06, 90.00 degrees
Last column: nearest neighbours and their distance in Å.
Space group Pm (No. 6)
Inequivalent atoms, fractional coordinates:
Na 0.0000 0.0000 0.0000 [1 per cell]  4 Cl 2.81
Na 0.0045 0.5000 0.6756 [1 per cell]  6 Cl 2.77-3.00
Ge 0.0045 0.5000 0.2722 [1 per cell]  4 Ge 2.67
Ge 0.5047 0.0000 0.3288 [1 per cell]  4 Ge 2.67, 1 Cl 2.73
Cl 0.5000 0.5000 0.9001 [1 per cell]  6 Na 2.81-3.00
Cl 0.5046 0.0000 0.5870 [1 per cell]  1 Ge 2.73, 4 Na 2.77

=====

What should be chosen as the least stable of them? Choose A.

=====

--- A ---
# NaGeCl

Crystalline NaGeCl at its relaxed geometry (PBE-GGA, Alexandria via LeMat-Bulk).

Properties
The magnetization is 0.0 μB per formula unit.

Cell lengths 4.0019, 6.5201, 7.7757 Å; angles 111.81, 90.11, 107.69 degrees
Last column: nearest neighbours and their distance in Å.
Space group P1 (No. 1)
Inequivalent atoms, fractional coordinates:
Na 0.0000 0.0000 0.0000 [1 per cell]  3 Cl 2.75-2.80
Na 0.2793 0.5622 0.4523 [1 per cell]  4 Cl 2.76-2.82
Ge 0.1610 0.3301 0.7498 [1 per cell]  2 Ge 2.44, 1 Cl 2.55
Ge 0.7336 0.4755 0.9384 [1 per cell]  2 Ge 2.44
Cl 0.6391 0.2802 0.2155 [1 per cell]  4 Na 2.75-2.82, 1 Ge 2.86
Cl 0.9395 0.8848 0.6146 [1 per cell]  1 Ge 2.55, 3 Na 2.76-2.80

=====

--- B ---
# NaGeCl

Crystalline NaGeCl at its relaxed geometry (PBE-GGA, Alexandria via LeMat-Bulk).

Properties
The magnetization is 0.0 μB per formula unit.

Cell lengths 6.0206, 14.1193, 3.9843 Å; angles 90.00, 90.08, 90.00 degrees
Last column: nearest neighbours and their distance in Å.
Space group Cc (No. 9)
Inequivalent atoms, fractional coordinates:
Na 0.0000 0.1536 0.0000 [4 per cell]  3 Cl 2.73-2.74
Ge 0.3645 0.0503 0.4978 [4 per cell]  2 Ge 2.45, 1 Cl 2.61
Cl 0.1935 0.3295 0.9992 [4 per cell]  1 Ge 2.61, 3 Na 2.73-2.74

=====

--- C ---
# NaGeCl

Crystalline NaGeCl at its relaxed geometry (PBE-GGA, Alexandria via LeMat-Bulk).

Properties
The magnetization is 0.0 μB per formula unit.

Cell lengths 5.2610, 5.2592, 11.0431 Å; angles 90.00, 102.68, 90.00 degrees
Last column: nearest neighbours and their distance in Å.
Space group Cm (No. 8)
Inequivalent atoms, fractional coordinates:
Na 0.0000 0.0000 0.0000 [2 per cell]  5 Cl 2.70-2.75
Na 0.1468 0.5000 0.3214 [2 per cell]  4 Cl 2.72-2.73
Ge 0.3308 0.5000 0.6229 [2 per cell]  4 Ge 2.69-2.70
Ge 0.3566 0.0000 0.6766 [2 per cell]  4 Ge 2.69-2.70, 1 Cl 2.87
Cl 0.1166 0.0000 0.2550 [2 per cell]  5 Na 2.72-2.75
Cl 0.4736 0.0000 0.9426 [2 per cell]  4 Na 2.70, 1 Ge 2.87

=====

What should be chosen as the least stable of them? Choose A.